--- P ---
Compound: KTl2Se
Source: the Alexandria database
Functional: GGA-PBE
Structure: optimized geometry

Output
Calculated volume (Å³ per atom): 33.74
Space-group type: P2/m (10)

a b c (Å): 5.311 5.017 5.160
angles (deg): 78.96 90.00 90.00
Fractional coordinates of all 4 atoms:
K 0.500 0.250 0.250
Se 0.500 0.750 0.750
Tl 0.000 0.541 0.539
Tl 0.000 0.959 0.961


--- Q ---
Compound: KTl2Se
Source: the Alexandria database
Functional: GGA-PBE
Structure: optimized geometry

Output
Calculated volume (Å³ per atom): 35.21
Space-group type: Cm (8)

a b c (Å): 6.004 6.004 6.503
angles (deg): 69.87 69.87 40.23
Fractional coordinates of all 4 atoms:
Se 0.726 0.726 0.791
Tl 0.271 0.271 0.125
K 0.480 0.480 0.548
Tl 0.022 0.022 0.036


Computed energies relative to the best structure, in meV/atom: P 0; Q 34


--- P ---
Compound: KTl2Se
Source: the Alexandria database
Functional: GGA-PBE
Structure: optimized geometry

Output
Calculated volume (Å³ per atom): 34.17
Space-group type: I-42d (122)

a b c (Å): 9.132 9.132 7.242
angles (deg): 50.91 50.91 90.00
Fractional coordinates of all 8 atoms:
Tl 0.875 0.922 0.750
Se 0.750 0.250 0.500
Tl 0.078 0.625 0.250
K 0.250 0.750 0.500
Tl 0.375 0.328 0.750
K 0.500 0.500 0.000
Se 0.000 0.000 0.000
Tl 0.672 0.125 0.250


--- Q ---
Compound: KTl2Se
Source: the Alexandria database
Functional: GGA-PBE
Structure: optimized geometry

Output
Calculated volume (Å³ per atom): 32.60
Space-group type: C2/m (12)

a b c (Å): 4.634 6.919 4.622
angles (deg): 70.30 90.55 109.76
Fractional coordinates of all 4 atoms:
Tl 0.000 0.000 0.000
Se 0.500 0.500 0.000
Tl 0.500 0.000 0.500
K 0.000 0.500 0.500


Computed energies relative to the best structure, in meV/atom: P 0; Q 89


--- P ---
Compound: KTl2Se
Source: the Alexandria database
Functional: GGA-PBE
Structure: optimized geometry

Output
Calculated volume (Å³ per atom): 30.74
Space-group type: I-4m2 (119)

a b c (Å): 6.114 6.114 6.114
angles (deg): 132.21 132.21 69.90
Fractional coordinates of all 4 atoms:
Tl 0.250 0.750 0.500
Se 0.750 0.250 0.500
Tl 0.000 0.000 0.000
K 0.500 0.500 0.000


--- Q ---
Compound: KTl2Se
Source: the Alexandria database
Functional: GGA-PBE
Structure: optimized geometry

Output
Calculated volume (Å³ per atom): 32.37
Space-group type: P4/mmm (123)

a b c (Å): 4.160 4.160 7.481
angles (deg): 90.00 90.00 89.96
Fractional coordinates of all 4 atoms:
Tl 0.000 0.000 0.549
K 0.500 0.500 0.250
Tl 0.000 0.000 0.951
Se 0.500 0.500 0.750


--- R ---
Compound: KTl2Se
Source: the Alexandria database
Functional: GGA-PBE
Structure: optimized geometry

Output
Calculated volume (Å³ per atom): 31.68
Space-group type: Fm-3m (225)

a b c (Å): 5.638 5.638 5.638
angles (deg): 60.00 60.00 60.00
Fractional coordinates of all 4 atoms:
Tl 0.750 0.750 0.750
K 0.000 0.000 0.000
Se 0.500 0.500 0.500
Tl 0.250 0.250 0.250


--- S ---
Compound: KTl2Se
Source: the Alexandria database
Functional: GGA-PBE
Structure: optimized geometry

Output
Calculated volume (Å³ per atom): 31.81
Space-group type: P4mm (99)

a b c (Å): 4.158 4.158 7.357
angles (deg): 90.00 90.00 90.00
Fractional coordinates of all 4 atoms:
K 0.000 0.000 0.531
Se 0.500 0.500 0.787
Tl 0.000 0.000 0.985
Tl 0.500 0.500 0.196


Computed energies relative to the best structure, in meV/atom: P 43; Q 98; R 147; S 0